Al2MoCl: PBEsol geometry, SCAN.

Cell lengths 3.7764, 3.7764, 9.0971 Å; angles 90.00, 90.00, 90.00 degrees
With the nearest neighbours (Å) after each atom.
Space group I-4m2 (No. 119)
Unique sites:
Al (0.0000, 0.0000, 0.0000)  4 Cl 2.67, 4 Mo 2.96, 4 Al 2.96
Al (0.0000, 0.5000, 0.2500)  4 Mo 2.67, 4 Cl 2.96, 4 Al 2.96
Mo (0.0000, 0.5000, 0.7500)  8 Al 2.67-2.96, 4 Cl 2.96
Cl (0.0000, 0.0000, 0.5000)  8 Al 2.67-2.96, 4 Mo 2.96

Values from the calculation:
The calculation puts the polymorph energy (0 for the lowest one) at 491 meV/atom. For the density, the calculation gives 4.745 g/cm³. The calculation puts the energy at -14.028 eV per atom. Its uncorrected formation energy is 564 meV per atom.